Tb12TmIn6 after structural relaxation. Source: the Alexandria database, functional PBE.

abc: 8.189 8.189 8.189
angles: 88.69 88.69 88.69
Sites, in units of the cell vectors:
1 Tb 0.807 0.527 0.437
2 Tb 0.437 0.807 0.527
3 Tb 0.923 0.875 0.616
4 Tb 0.527 0.437 0.807
5 Tb 0.077 0.125 0.384
6 Tb 0.473 0.563 0.193
7 Tb 0.125 0.384 0.077
8 Tb 0.875 0.616 0.923
9 Tb 0.193 0.473 0.563
10 Tb 0.563 0.193 0.473
11 Tb 0.384 0.077 0.125
12 Tb 0.616 0.923 0.875
13 In 0.124 0.745 0.276
14 In 0.745 0.276 0.124
15 In 0.255 0.724 0.876
16 In 0.276 0.124 0.745
17 In 0.724 0.876 0.255
18 In 0.876 0.255 0.724
19 Tm 0.000 0.000 0.000

formation energy = -215 meV per atom

=====

Cd4AgSn after structural relaxation. Source: the Alexandria database, functional PBE.

abc: 5.828 5.828 5.828
angles: 60.00 60.00 60.00
Sites, in units of the cell vectors:
1 Cd 0.625 0.124 0.625
2 Cd 0.625 0.625 0.124
3 Cd 0.625 0.625 0.625
4 Cd 0.124 0.625 0.625
5 Ag 0.000 0.000 0.000
6 Sn 0.250 0.250 0.250

formation energy = 122 meV per atom
excess energy over the best structure of this formula in the dataset = 0.097 eV per atom

=====

LuTePdRh after structural relaxation. Source: the Alexandria database, functional PBE.

abc: 4.742 4.742 4.742
angles: 60.00 60.00 60.00
Sites, in units of the cell vectors:
1 Lu 0.500 0.500 0.500
2 Rh 0.750 0.750 0.750
3 Pd 0.250 0.250 0.250
4 Te 0.000 0.000 0.000

formation energy from raw total energies = -2.73 eV/f.u.

=====

Mn2HgW after structural relaxation. Source: the Alexandria database, functional PBE.

abc: 4.608 4.608 4.608
angles: 127.44 127.44 77.53
Sites, in units of the cell vectors:
1 Hg 0.250 0.750 0.500
2 Mn 0.000 0.000 0.000
3 Mn 0.500 0.500 0.000
4 W 0.750 0.250 0.500

formation energy = 460 meV per atom

=====

Ce2TlH after structural relaxation. Source: the Alexandria database, functional PBE.

abc: 3.268 3.268 7.761
angles: 90.00 90.00 90.00
Sites, in units of the cell vectors:
1 Ce 0.000 0.000 0.175
2 Ce 0.000 0.000 0.825
3 H 0.500 0.500 0.000
4 Tl 0.500 0.500 0.500

excess energy over the best structure of this formula in the dataset = 0.212 eV per atom

=====

Question: Which formula does entry 2 have?
Answer: Cd4AgSn